# 1
! ThB PBE-GGA optimized geometry; values from VASP
! Calculated volume: 20.3 Å³ per atom
! Calculated density: 9.9 g/cm3
! DOS(E_F): 3.60 states/eV/cell
! VASP energy: -7.355 eV/atom
&SYSTEM
  ibrav = 0, nat = 4, ntyp = 2
/
ATOMIC_SPECIES
B 10.81 B.upf
Th 232.04 Th.upf
CELL_PARAMETERS angstrom
3.6646 0.0000 -0.0099
0.0000 3.2644 0.0000
-1.8111 0.0000 6.7990
ATOMIC_POSITIONS crystal
B 0.9749 0.2500 0.9499
B 0.0251 0.7500 0.0501
Th 0.3773 0.7500 0.7537
Th 0.6227 0.2500 0.2463


# 2
! LiBIN2 PBE-GGA optimized geometry; values from VASP
! Energy relative to the elements, uncorrected: 0.902 eV per atom
! Calculated volume: 16.8 Å³ per atom
! Calculated density: 3.4 g/cm3
! DOS(E_F): 1.63 states/eV/cell
&SYSTEM
  ibrav = 0, nat = 5, ntyp = 4
/
ATOMIC_SPECIES
I 126.90 I.upf
B 10.81 B.upf
N 14.01 N.upf
Li 6.94 Li.upf
CELL_PARAMETERS angstrom
-0.0034 2.7286 -1.8841
-2.9430 0.8656 1.2588
3.5288 3.8658 5.5921
ATOMIC_POSITIONS crystal
I 0.0000 0.0000 0.5000
B 0.0000 0.0000 0.0000
N 0.0000 0.5000 0.0000
N 0.5000 0.0000 0.0000
Li 0.5000 0.5000 0.5000